No. 1
# ErSi3Tc3

A relaxed structure of ErSi3Tc3 (PBE-GGA, Alexandria).

```
data_ErSi3Tc3
_chemical_formula_sum 'Er2 Si6 Tc6'
_symmetry_space_group_name_H-M 'P 1'
_symmetry_Int_Tables_number 1
_cell_length_a 6.554
_cell_length_b 6.554
_cell_length_c 6.554
_cell_angle_alpha 90.00
_cell_angle_beta 90.00
_cell_angle_gamma 90.00
loop_
_symmetry_equiv_pos_as_xyz
'x,y,z'
loop_
_atom_site_label
_atom_site_type_symbol
_atom_site_fract_x
_atom_site_fract_y
_atom_site_fract_z
Si1 Si 0.000 0.250 0.500
Si2 Si 0.000 0.750 0.500
Si3 Si 0.500 0.000 0.750
Si4 Si 0.750 0.500 0.000
Si5 Si 0.500 0.000 0.250
Si6 Si 0.250 0.500 0.000
Tc1 Tc 0.250 0.000 0.500
Tc2 Tc 0.000 0.500 0.250
Tc3 Tc 0.500 0.750 0.000
Tc4 Tc 0.750 0.000 0.500
Tc5 Tc 0.000 0.500 0.750
Tc6 Tc 0.500 0.250 0.000
Er1 Er 0.500 0.500 0.500
Er2 Er 0.000 0.000 0.000
```

Summary:
- Energy relative to the elements, uncorrected: 0.200 eV per atom
- Space-group type: Pm-3n, No. 223

No. 2
# ZnIBr4

A relaxed structure of ZnIBr4 (PBE-GGA, Alexandria).

```
data_ZnIBr4
_chemical_formula_sum 'Zn2 I2 Br8'
_symmetry_space_group_name_H-M 'P 1'
_symmetry_Int_Tables_number 1
_cell_length_a 6.902
_cell_length_b 6.902
_cell_length_c 10.466
_cell_angle_alpha 90.00
_cell_angle_beta 90.00
_cell_angle_gamma 77.70
loop_
_symmetry_equiv_pos_as_xyz
'x,y,z'
loop_
_atom_site_label
_atom_site_type_symbol
_atom_site_fract_x
_atom_site_fract_y
_atom_site_fract_z
Zn1 Zn 0.667 0.667 0.000
Zn2 Zn 0.333 0.333 0.500
I1 I 0.742 0.258 0.750
I2 I 0.258 0.742 0.250
Br1 Br 0.232 0.249 0.294
Br2 Br 0.768 0.751 0.794
Br3 Br 0.249 0.232 0.706
Br4 Br 0.709 0.241 0.493
Br5 Br 0.751 0.768 0.206
Br6 Br 0.759 0.291 0.007
Br7 Br 0.241 0.709 0.507
Br8 Br 0.291 0.759 0.993
```

Summary:
- Energy relative to the elements, uncorrected: -0.354 eV per atom
- Space-group type: C222_1, No. 20